Version one
Material: Ca2YTa
Method: DFT, SCAN
State: PBEsol geometry

Geometry as POSCAR:
```
Ca2YTa
1.0
11.666 0.000 0.000
0.000 3.262 0.000
-0.975 0.000 5.709
Ca Y Ta
4 2 2
Direct
0.237 0.000 0.232
0.263 0.500 0.768
0.737 0.500 0.232
0.763 0.000 0.768
0.000 0.000 0.500
0.500 0.500 0.500
0.000 0.500 0.000
0.500 0.000 0.000
```

Crystal system   monoclinic
Total magnetic moment   0.0 μB per cell
Space-group type   No. 12
N(E_F)   5.22 states/eV/f.u.
ρ   5.4 Mg/m³

Version two
Material: Ca2YTa
Method: DFT, SCAN
State: PBEsol geometry

Geometry as POSCAR:
```
Ca2YTa
1.0
4.933 0.000 0.000
0.000 4.933 0.000
0.000 0.000 8.999
Ca Y Ta
4 2 2
Direct
0.000 0.000 0.000
0.000 0.500 0.250
0.500 0.000 0.750
0.500 0.500 0.500
0.000 0.000 0.500
0.500 0.500 0.000
0.000 0.500 0.750
0.500 0.000 0.250
```

Crystal system   tetragonal
Total magnetic moment   4.0 μB per cell
Space-group type   No. 119
N(E_F)   4.80 states/eV/f.u.
ρ   5.3 Mg/m³

Version three
Material: Ca2YTa
Method: DFT, SCAN
State: PBEsol geometry

Geometry as POSCAR:
```
Ca2YTa
1.0
3.163 0.000 0.000
0.000 5.795 0.000
-0.447 0.000 5.909
Ca Y Ta
2 1 1
Direct
0.245 0.000 0.263
0.755 0.000 0.737
0.500 0.500 0.000
0.000 0.500 0.500
```

Crystal system   monoclinic
Total magnetic moment   0.9 μB per cell
Space-group type   No. 10
N(E_F)   4.66 states/eV/f.u.
ρ   5.4 Mg/m³

Which structure wins on stability? version one wins.

Version one
Material: CaZrTa2
Method: DFT, SCAN
State: PBEsol geometry

Geometry as POSCAR:
```
CaZrTa2
1.0
2.896 0.000 0.000
0.000 4.878 0.000
-1.341 0.000 6.133
Ca Zr Ta
1 1 2
Direct
0.000 0.000 0.000
0.000 0.000 0.500
0.455 0.500 0.706
0.545 0.500 0.294
```

Crystal system   monoclinic
Total magnetic moment   0.0 μB per cell
Space-group type   No. 10
N(E_F)   5.09 states/eV/f.u.
ρ   9.5 Mg/m³

Version two
Material: CaZrTa2
Method: DFT, SCAN
State: PBEsol geometry

Geometry as POSCAR:
```
CaZrTa2
1.0
2.983 0.000 0.000
0.000 4.676 0.000
-1.395 0.000 6.288
Ca Zr Ta
1 1 2
Direct
0.000 0.000 0.000
0.252 0.500 0.682
0.567 0.000 0.480
0.725 0.500 0.282
```

Crystal system   monoclinic
Total magnetic moment   0.0 μB per cell
Space-group type   No. 6
N(E_F)   3.08 states/eV/f.u.
ρ   9.3 Mg/m³

Version three
Material: CaZrTa2
Method: DFT, SCAN
State: PBEsol geometry

Geometry as POSCAR:
```
CaZrTa2
1.0
3.844 0.000 0.000
0.000 4.392 0.000
0.000 0.000 4.887
Ca Zr Ta
1 1 2
Direct
0.000 0.000 0.000
0.500 0.500 0.000
0.000 0.500 0.500
0.500 0.000 0.500
```

Crystal system   orthorhombic
Total magnetic moment   0.0 μB per cell
Space-group type   No. 47
N(E_F)   3.75 states/eV/f.u.
ρ   9.9 Mg/m³

Version four
Material: CaZrTa2
Method: DFT, SCAN
State: PBEsol geometry

Geometry as POSCAR:
```
CaZrTa2
1.0
5.955 0.000 0.000
0.000 10.174 0.000
-0.492 0.000 2.711
Ca Zr Ta
2 2 4
Direct
0.000 0.000 0.000
0.500 0.500 0.000
0.000 0.500 0.000
0.500 0.000 0.000
0.250 0.250 0.500
0.250 0.750 0.500
0.750 0.250 0.500
0.750 0.750 0.500
```

Crystal system   monoclinic
Total magnetic moment   0.0 μB per cell
Space-group type   No. 12
N(E_F)   5.40 states/eV/f.u.
ρ   10.0 Mg/m³

Which structure wins on stability? version two wins.

Version one
Material: CaZr2Ta
Method: DFT, SCAN
State: PBEsol geometry

Geometry as POSCAR:
```
CaZr2Ta
1.0
3.052 0.000 0.000
0.000 5.039 0.000
-1.479 0.000 5.984
Ca Zr Ta
1 2 1
Direct
0.000 0.000 0.000
0.347 0.500 0.697
0.774 0.000 0.475
0.601 0.500 0.266
```

Crystal system   monoclinic
Total magnetic moment   0.0 μB per cell
Space-group type   No. 6
N(E_F)   4.19 states/eV/f.u.
ρ   7.3 Mg/m³

Version two
Material: CaZr2Ta
Method: DFT, SCAN
State: PBEsol geometry

Geometry as POSCAR:
```
CaZr2Ta
1.0
6.393 0.000 0.000
0.000 8.991 0.000
0.000 0.000 3.073
Ca Zr Ta
2 4 2
Direct
0.000 0.000 0.000
0.500 0.500 0.000
0.250 0.250 0.500
0.250 0.750 0.500
0.750 0.250 0.500
0.750 0.750 0.500
0.000 0.500 0.000
0.500 0.000 0.000
```

Crystal system   orthorhombic
Total magnetic moment   0.0 μB per cell
Space-group type   No. 65
N(E_F)   4.93 states/eV/f.u.
ρ   7.6 Mg/m³

Which structure wins on stability? version one wins.

Version one
Material: Ca2Tc
Method: DFT, SCAN
State: PBEsol geometry

Geometry as POSCAR:
```
Ca2Tc
1.0
5.111 0.000 0.000
-2.556 4.426 0.000
0.000 0.000 2.918
Ca Tc
2 1
Direct
0.333 0.667 0.347
0.667 0.333 0.653
0.000 0.000 0.000
```

Crystal system   trigonal
Total magnetic moment   0.0 μB per cell
Space-group type   No. 164
N(E_F)   1.50 states/eV/f.u.
ρ   4.5 Mg/m³

Version two
Material: Ca2Tc
Method: DFT, SCAN
State: PBEsol geometry

Geometry as POSCAR:
```
Ca2Tc
1.0
11.558 0.000 0.000
0.000 3.679 0.000
-2.876 0.000 7.845
Ca Tc
8 4
Direct
0.011 0.000 0.196
0.173 0.500 0.640
0.327 0.000 0.360
0.489 0.500 0.804
0.511 0.500 0.196
0.673 0.000 0.640
0.827 0.500 0.360
0.989 0.000 0.804
0.205 0.500 0.038
0.295 0.000 0.962
0.705 0.000 0.038
0.795 0.500 0.962
```

Crystal system   monoclinic
Total magnetic moment   0.0 μB per cell
Space-group type   No. 12
N(E_F)   3.32 states/eV/f.u.
ρ   3.5 Mg/m³

Which structure wins on stability? version two wins.

Version one
Material: CaTc3
Method: DFT, SCAN
State: PBEsol geometry

Geometry as POSCAR:
```
CaTc3
1.0
4.522 0.000 0.000
0.000 4.522 0.000
0.000 0.000 3.055
Ca Tc
1 3
Direct
0.000 0.000 0.000
0.000 0.500 0.500
0.500 0.000 0.500
0.500 0.500 0.000
```

Crystal system   tetragonal
Total magnetic moment   0.0 μB per cell
Space-group type   No. 123
N(E_F)   4.32 states/eV/f.u.
ρ   8.9 Mg/m³

Version two
Material: CaTc3
Method: DFT, SCAN
State: PBEsol geometry

Geometry as POSCAR:
```
CaTc3
1.0
6.277 0.000 0.000
0.000 6.277 0.000
0.000 0.000 6.277
Ca Tc
4 12
Direct
0.000 0.000 0.000
0.000 0.500 0.500
0.500 0.000 0.500
0.500 0.500 0.000
0.000 0.000 0.500
0.000 0.500 0.000
0.250 0.250 0.250
0.250 0.250 0.750
0.250 0.750 0.250
0.250 0.750 0.750
0.500 0.000 0.000
0.500 0.500 0.500
0.750 0.250 0.250
0.750 0.250 0.750
0.750 0.750 0.250
0.750 0.750 0.750
```

Crystal system   cubic
Total magnetic moment   0.0 μB per cell
Space-group type   No. 225
N(E_F)   3.02 states/eV/f.u.
ρ   9.0 Mg/m³

Which structure wins on stability? version two wins.

Version one
Material: CaTcTe2
Method: DFT, SCAN
State: PBEsol geometry

Geometry as POSCAR:
```
CaTcTe2
1.0
4.449 0.000 0.000
0.000 5.462 0.000
0.000 0.000 7.303
Ca Tc Te
2 2 4
Direct
0.000 0.000 0.000
0.500 0.500 0.500
0.000 0.000 0.500
0.500 0.500 0.000
0.000 0.500 0.219
0.000 0.500 0.781
0.500 0.000 0.281
0.500 0.000 0.719
```

Crystal system   orthorhombic
Total magnetic moment   0.0 μB per cell
Space-group type   No. 71
N(E_F)   1.89 states/eV/f.u.
ρ   7.4 Mg/m³

Version two
Material: CaTcTe2
Method: DFT, SCAN
State: PBEsol geometry

Geometry as POSCAR:
```
CaTcTe2
1.0
4.764 0.000 0.000
0.000 4.160 0.000
0.000 0.000 11.247
Ca Tc Te
2 2 4
Direct
0.000 0.000 0.000
0.000 0.500 0.500
0.500 0.000 0.796
0.500 0.500 0.296
0.000 0.000 0.714
0.000 0.500 0.214
0.500 0.000 0.431
0.500 0.500 0.931
```

Crystal system   orthorhombic
Total magnetic moment   0.0 μB per cell
Space-group type   No. 38
N(E_F)   2.55 states/eV/f.u.
ρ   5.9 Mg/m³

Version three
Material: CaTcTe2
Method: DFT, SCAN
State: PBEsol geometry

Geometry as POSCAR:
```
CaTcTe2
1.0
8.941 0.000 0.000
0.000 3.517 0.000
-2.326 0.000 6.346
Ca Tc Te
2 2 4
Direct
0.000 0.000 0.000
0.500 0.500 0.000
0.303 0.000 0.591
0.803 0.500 0.591
0.112 0.500 0.668
0.287 0.500 0.281
0.612 0.000 0.668
0.787 0.000 0.281
```

Crystal system   monoclinic
Total magnetic moment   0.0 μB per cell
Space-group type   No. 8
N(E_F)   2.02 states/eV/f.u.
ρ   6.5 Mg/m³

Which structure wins on stability? version two wins.

Version one
Material: CaTcTe
Method: DFT, SCAN
State: PBEsol geometry

Geometry as POSCAR:
```
CaTcTe
1.0
3.518 0.000 0.000
-1.759 3.046 0.000
0.000 0.000 6.555
Ca Tc Te
1 1 1
Direct
0.000 0.000 0.000
0.667 0.333 0.649
0.333 0.667 0.404
```

Crystal system   trigonal
Total magnetic moment   0.0 μB per cell
Space-group type   No. 156
N(E_F)   1.09 states/eV/f.u.
ρ   6.3 Mg/m³

Version two
Material: CaTcTe
Method: DFT, SCAN
State: PBEsol geometry

Geometry as POSCAR:
```
CaTcTe
1.0
6.454 0.000 0.000
0.000 6.454 0.000
0.000 0.000 6.454
Ca Tc Te
4 4 4
Direct
0.000 0.000 0.000
0.000 0.500 0.500
0.500 0.000 0.500
0.500 0.500 0.000
0.250 0.250 0.750
0.250 0.750 0.250
0.750 0.250 0.250
0.750 0.750 0.750
0.000 0.000 0.500
0.000 0.500 0.000
0.500 0.000 0.000
0.500 0.500 0.500
```

Crystal system   cubic
Total magnetic moment   0.0 μB per cell
Space-group type   No. 216
N(E_F)   3.32 states/eV/f.u.
ρ   6.6 Mg/m³

Which structure wins on stability? version one wins.

Version one
Material: Ca2YTc
Method: DFT, SCAN
State: PBEsol geometry

Geometry as POSCAR:
```
Ca2YTc
1.0
4.461 0.000 0.000
0.000 4.461 0.000
0.000 0.000 9.917
Ca Y Tc
4 2 2
Direct
0.000 0.500 0.250
0.000 0.500 0.750
0.500 0.000 0.250
0.500 0.000 0.750
0.000 0.000 0.000
0.500 0.500 0.500
0.000 0.000 0.500
0.500 0.500 0.000
```

Crystal system   tetragonal
Total magnetic moment   0.0 μB per cell
Space-group type   No. 139
N(E_F)   2.74 states/eV/f.u.
ρ   4.5 Mg/m³

Version two
Material: Ca2YTc
Method: DFT, SCAN
State: PBEsol geometry

Geometry as POSCAR:
```
Ca2YTc
1.0
3.341 0.000 0.000
0.000 4.581 0.000
0.000 0.000 15.825
Ca Y Tc
4 2 2
Direct
0.000 0.000 0.161
0.000 0.000 0.839
0.500 0.500 0.339
0.500 0.500 0.661
0.000 0.500 0.000
0.500 0.000 0.500
0.000 0.500 0.500
0.500 0.000 0.000
```

Crystal system   orthorhombic
Total magnetic moment   1.6 μB per cell
Space-group type   No. 71
N(E_F)   4.19 states/eV/f.u.
ρ   3.7 Mg/m³

Which structure wins on stability? version two wins.

Version one
Material: CaZrTc2
Method: DFT, SCAN
State: PBEsol geometry

Geometry as POSCAR:
```
CaZrTc2
1.0
3.878 0.000 0.000
0.000 3.878 0.000
0.000 0.000 9.535
Ca Zr Tc
2 2 4
Direct
0.000 0.000 0.000
0.500 0.500 0.500
0.000 0.500 0.750
0.500 0.000 0.250
0.000 0.000 0.500
0.000 0.500 0.250
0.500 0.000 0.750
0.500 0.500 0.000
```

Crystal system   tetragonal
Total magnetic moment   0.0 μB per cell
Space-group type   No. 119
N(E_F)   4.31 states/eV/f.u.
ρ   7.6 Mg/m³

Version two
Material: CaZrTc2
Method: DFT, SCAN
State: PBEsol geometry

Geometry as POSCAR:
```
CaZrTc2
1.0
3.074 0.000 0.000
0.000 3.889 0.000
-0.880 0.000 6.955
Ca Zr Tc
1 1 2
Direct
0.000 0.000 0.000
0.376 0.500 0.633
0.528 0.500 0.288
0.903 0.000 0.431
```

Crystal system   monoclinic
Total magnetic moment   0.0 μB per cell
Space-group type   No. 6
N(E_F)   2.43 states/eV/f.u.
ρ   6.5 Mg/m³

Which structure wins on stability? version two wins.

Version one
Material: Ca2TlTe
Method: DFT, SCAN
State: PBEsol geometry

Geometry as POSCAR:
```
Ca2TlTe
1.0
7.692 0.000 0.000
0.000 7.692 0.000
0.000 0.000 7.692
Ca Tl Te
8 4 4
Direct
0.250 0.250 0.250
0.250 0.250 0.750
0.250 0.750 0.250
0.250 0.750 0.750
0.750 0.250 0.250
0.750 0.250 0.750
0.750 0.750 0.250
0.750 0.750 0.750
0.000 0.000 0.000
0.000 0.500 0.500
0.500 0.000 0.500
0.500 0.500 0.000
0.000 0.000 0.500
0.000 0.500 0.000
0.500 0.000 0.000
0.500 0.500 0.500
```

Crystal system   cubic
Total magnetic moment   0.0 μB per cell
Space-group type   No. 225
N(E_F)   2.28 states/eV/f.u.
ρ   6.0 Mg/m³

Version two
Material: Ca2TlTe
Method: DFT, SCAN
State: PBEsol geometry

Geometry as POSCAR:
```
Ca2TlTe
1.0
3.927 0.000 0.000
0.000 3.927 0.000
-0.007 0.000 7.322
Ca Tl Te
2 1 1
Direct
0.000 0.000 0.246
0.000 0.000 0.754
0.500 0.500 0.500
0.500 0.500 0.000
```

Crystal system   monoclinic
Total magnetic moment   0.0 μB per cell
Space-group type   No. 10
N(E_F)   2.07 states/eV/f.u.
ρ   6.1 Mg/m³

Which structure wins on stability? version two wins.

Version one
Material: CaTe2W
Method: DFT, SCAN
State: PBEsol geometry

Geometry as POSCAR:
```
CaTe2W
1.0
4.236 0.000 0.000
-2.118 3.669 0.000
0.000 0.000 19.356
Ca Te W
3 6 3
Direct
0.000 0.000 0.000
0.333 0.667 0.667
0.667 0.333 0.333
0.000 0.000 0.236
0.000 0.000 0.764
0.333 0.667 0.431
0.333 0.667 0.903
0.667 0.333 0.097
0.667 0.333 0.569
0.000 0.000 0.500
0.333 0.667 0.167
0.667 0.333 0.833
```

Crystal system   trigonal
Total magnetic moment   6.0 μB per cell
Space-group type   No. 166
N(E_F)   1.05 states/eV/f.u.
ρ   7.9 Mg/m³

Version two
Material: CaTe2W
Method: DFT, SCAN
State: PBEsol geometry

Geometry as POSCAR:
```
CaTe2W
1.0
5.016 0.000 0.000
0.000 5.016 0.000
0.000 0.000 3.461
Ca Te W
1 2 1
Direct
0.000 0.000 0.000
0.000 0.500 0.500
0.500 0.000 0.500
0.500 0.500 0.000
```

Crystal system   tetragonal
Total magnetic moment   1.2 μB per cell
Space-group type   No. 123
N(E_F)   2.95 states/eV/f.u.
ρ   9.1 Mg/m³

Version three
Material: CaTe2W
Method: DFT, SCAN
State: PBEsol geometry

Geometry as POSCAR:
```
CaTe2W
1.0
3.411 0.000 0.000
0.000 3.411 0.000
0.000 0.000 7.531
Ca Te W
1 2 1
Direct
0.000 0.000 0.000
0.500 0.500 0.285
0.500 0.500 0.715
0.000 0.000 0.500
```

Crystal system   tetragonal
Total magnetic moment   0.0 μB per cell
Space-group type   No. 123
N(E_F)   2.90 states/eV/f.u.
ρ   9.1 Mg/m³

Which structure wins on stability? version one wins.

Version one
Material: CaTlW2
Method: DFT, SCAN
State: PBEsol geometry

Geometry as POSCAR:
```
CaTlW2
1.0
2.865 0.000 0.000
0.000 5.155 0.000
-0.351 0.000 5.279
Ca Tl W
1 1 2
Direct
0.000 0.000 0.000
0.500 0.000 0.500
0.337 0.500 0.769
0.663 0.500 0.231
```

Crystal system   monoclinic
Total magnetic moment   0.0 μB per cell
Space-group type   No. 10
N(E_F)   2.26 states/eV/f.u.
ρ   13.0 Mg/m³

Version two
Material: CaTlW2
Method: DFT, SCAN
State: PBEsol geometry

Geometry as POSCAR:
```
CaTlW2
1.0
6.742 0.000 0.000
0.000 6.742 0.000
0.000 0.000 6.742
Ca Tl W
4 4 8
Direct
0.000 0.000 0.000
0.000 0.500 0.500
0.500 0.000 0.500
0.500 0.500 0.000
0.000 0.000 0.500
0.000 0.500 0.000
0.500 0.000 0.000
0.500 0.500 0.500
0.250 0.250 0.250
0.250 0.250 0.750
0.250 0.750 0.250
0.250 0.750 0.750
0.750 0.250 0.250
0.750 0.250 0.750
0.750 0.750 0.250
0.750 0.750 0.750
```

Crystal system   cubic
Total magnetic moment   12.4 μB per cell
Space-group type   No. 225
N(E_F)   4.00 states/eV/f.u.
ρ   13.3 Mg/m³

Version three
Material: CaTlW2
Method: DFT, SCAN
State: PBEsol geometry

Geometry as POSCAR:
```
CaTlW2
1.0
3.370 0.000 0.000
0.000 4.931 0.000
0.000 0.000 9.650
Ca Tl W
2 2 4
Direct
0.000 0.000 0.000
0.500 0.500 0.000
0.000 0.500 0.283
0.500 0.000 0.283
0.000 0.000 0.538
0.000 0.500 0.736
0.500 0.000 0.736
0.500 0.500 0.538
```

Crystal system   orthorhombic
Total magnetic moment   0.0 μB per cell
Space-group type   No. 35
N(E_F)   2.72 states/eV/f.u.
ρ   12.7 Mg/m³

Which structure wins on stability? version three wins.